1.
{"formula": "La2TePt", "functional": "GGA-PBE", "state": "optimized geometry", "lattice_angstrom": [[4.4167, 0.0000, 0.0000], [0.0000, 4.4167, 0.0000], [0.0000, 0.0000, 6.3901]], "species": ["La", "La", "Te", "Pt"], "fractional_positions": [[0.0000, 0.0000, 0.0000], [0.5000, 0.5000, 0.5000], [0.0000, 0.0000, 0.5000], [0.5000, 0.5000, 0.0000]], "spacegroup": "P4/mmm", "m_tot_mub_per_cell": 0.00, "total_energy_ha_per_atom": -0.2199, "raw_formation_energy_ev_per_fu": -4.90}

2.
{"formula": "LaTe2Pt", "functional": "GGA-PBE", "state": "optimized geometry", "lattice_angstrom": [[4.6075, 0.0000, 0.0000], [-2.3037, 3.9902, 0.0000], [0.0000, 0.0000, 18.2086]], "species": ["La", "La", "La", "Te", "Te", "Te", "Te", "Te", "Te", "Pt", "Pt", "Pt"], "fractional_positions": [[0.0000, 0.0000, 0.0000], [0.3333, 0.6667, 0.6667], [0.6667, 0.3333, 0.3333], [0.0000, 0.0000, 0.2350], [0.0000, 0.0000, 0.7650], [0.3333, 0.6667, 0.4317], [0.3333, 0.6667, 0.9016], [0.6667, 0.3333, 0.0984], [0.6667, 0.3333, 0.5683], [0.0000, 0.0000, 0.5000], [0.3333, 0.6667, 0.1667], [0.6667, 0.3333, 0.8333]], "spacegroup": "R-3m", "m_tot_mub_per_cell": 0.00, "e_above_lowest_polymorph_ev_per_atom": 0.317, "total_energy_ha_per_atom": -0.1842, "raw_formation_energy_ev_per_fu": -2.79}

3.
{"formula": "La2TePt", "functional": "GGA-PBE", "state": "optimized geometry", "lattice_angstrom": [[4.6024, 0.0000, 0.0000], [0.0000, 4.2290, 0.0000], [0.0000, 0.0000, 12.0858]], "species": ["La", "La", "La", "La", "Te", "Te", "Pt", "Pt"], "fractional_positions": [[0.0000, 0.0000, 0.0000], [0.0000, 0.5000, 0.5000], [0.5000, 0.0000, 0.2737], [0.5000, 0.5000, 0.7737], [0.5000, 0.0000, 0.5540], [0.5000, 0.5000, 0.0540], [0.0000, 0.0000, 0.7629], [0.0000, 0.5000, 0.2629]], "spacegroup": "Amm2", "m_tot_mub_per_cell": 0.02, "total_energy_ha_per_atom": -0.2198, "raw_formation_energy_ev_per_fu": -4.89}